(1)
{"formula": "TcHSe2", "functional": "PBE", "state": "relaxed", "energy_ev_per_atom": -5.089, "total_magnetization_mub_per_fu": 0.00, "polymorph_energy_ev_per_atom": 0.264, "lattice_angstrom": [[8.216, 0.000, 0.000], [0.000, 7.665, 0.000], [0.000, 0.000, 4.878]], "species": ["H", "H", "H", "H", "Tc", "Tc", "Tc", "Tc", "Se", "Se", "Se", "Se", "Se", "Se", "Se", "Se"], "frac_coords": [[0.131, 0.930, 0.915], [0.869, 0.070, 0.415], [0.369, 0.430, 0.415], [0.631, 0.570, 0.915], [0.037, 0.379, 0.107], [0.963, 0.621, 0.607], [0.463, 0.879, 0.607], [0.537, 0.121, 0.107], [0.407, 0.844, 0.108], [0.593, 0.156, 0.608], [0.093, 0.344, 0.608], [0.907, 0.656, 0.108], [0.149, 0.876, 0.619], [0.851, 0.124, 0.119], [0.351, 0.376, 0.119], [0.649, 0.624, 0.619]]}


(2)
{"formula": "Pr3Dy5Y3", "functional": "PBE", "state": "relaxed", "energy_ev_per_atom": -4.363, "delta_e_f_ev_per_atom": 0.80, "total_magnetization_mub_per_fu": 0.00, "lattice_angstrom": [[5.529, 0.000, 0.000], [0.000, 9.655, 0.000], [0.000, -4.827, 8.361]], "species": ["Pr", "Pr", "Pr", "Dy", "Dy", "Dy", "Dy", "Dy", "Y", "Y", "Y"], "frac_coords": [[0.500, 0.636, 0.636], [0.500, 0.000, 0.364], [0.500, 0.364, 0.000], [0.500, 0.333, 0.667], [0.500, 0.667, 0.333], [0.500, 0.269, 0.269], [0.500, 0.000, 0.731], [0.500, 0.731, 0.000], [0.000, 0.461, 0.461], [0.000, 0.539, 0.000], [0.000, 0.000, 0.539]]}


(3)
{"formula": "BaTlCdIn2", "functional": "PBE", "state": "relaxed", "energy_ev_per_atom": -2.445, "delta_e_f_ev_per_atom": -0.31, "total_magnetization_mub_per_fu": 0.00, "lattice_angstrom": [[5.070, 0.000, 0.000], [0.000, 5.070, 0.000], [-2.535, -2.535, 6.107]], "species": ["Ba", "Tl", "Cd", "In", "In"], "frac_coords": [[0.000, 0.000, 0.000], [0.250, 0.750, 0.500], [0.750, 0.250, 0.500], [0.617, 0.617, 0.234], [0.383, 0.383, 0.766]]}


(4)
{"formula": "PdPtAu3", "functional": "PBE", "state": "relaxed", "energy_ev_per_atom": -3.207, "delta_e_f_ev_per_atom": 1.01, "total_magnetization_mub_per_fu": 0.00, "polymorph_energy_ev_per_atom": 0.834, "lattice_angstrom": [[5.028, 0.000, 0.000], [0.000, 5.028, 0.000], [0.000, 0.000, 5.028]], "species": ["Au", "Au", "Au", "Pd", "Pt"], "frac_coords": [[0.000, 0.500, 0.000], [0.000, 0.000, 0.500], [0.500, 0.000, 0.000], [0.500, 0.500, 0.500], [0.000, 0.000, 0.000]]}


(5)
{"formula": "NaPa4SnN8", "functional": "PBE", "state": "relaxed", "energy_ev_per_atom": -8.937, "formation_energy_uncorrected_ev_per_atom": -1.086, "total_magnetization_mub_per_fu": 0.00, "lattice_angstrom": [[7.160, 0.000, 0.000], [3.580, 6.201, 0.000], [3.580, 2.067, 5.022]], "species": ["Na", "Pa", "Pa", "Pa", "Pa", "Sn", "N", "N", "N", "N", "N", "N", "N", "N"], "frac_coords": [[0.003, 0.003, 0.992], [0.591, 0.591, 0.228], [0.997, 0.501, 0.506], [0.501, 0.997, 0.506], [0.997, 0.997, 0.506], [0.382, 0.382, 0.854], [0.270, 0.775, 0.685], [0.775, 0.270, 0.685], [0.270, 0.270, 0.685], [0.242, 0.242, 0.275], [0.751, 0.220, 0.278], [0.220, 0.751, 0.278], [0.751, 0.751, 0.278], [0.751, 0.751, 0.747]]}


(6)
{"formula": "PmTm5Tl2", "functional": "PBE", "state": "relaxed", "energy_ev_per_atom": -4.101, "delta_e_f_ev_per_atom": -0.12, "total_magnetization_mub_per_fu": 0.00, "lattice_angstrom": [[-0.603, -1.099, 3.407], [-4.674, -6.829, -1.096], [5.413, -6.296, 0.860]], "species": ["Pm", "Tm", "Tm", "Tm", "Tm", "Tm", "Tl", "Tl"], "frac_coords": [[0.000, 0.000, 0.000], [0.000, 0.500, 0.500], [0.633, 0.593, 0.140], [0.367, 0.407, 0.860], [0.367, 0.860, 0.407], [0.633, 0.140, 0.593], [0.741, 0.759, 0.759], [0.259, 0.241, 0.241]]}


(7)
{"formula": "InHg2O", "functional": "PBE", "state": "relaxed", "energy_ev_per_atom": -2.120, "formation_energy_uncorrected_ev_per_atom": -0.045, "total_magnetization_mub_per_fu": 0.00, "polymorph_energy_ev_per_atom": 0.000, "lattice_angstrom": [[-2.195, 0.285, -6.312], [-3.183, -5.821, 0.844], [-6.207, -0.653, -1.415]], "species": ["Hg", "Hg", "Hg", "Hg", "O", "O", "In", "In"], "frac_coords": [[0.558, 0.125, 0.250], [0.192, 0.625, 0.250], [0.375, 0.442, 0.750], [0.875, 0.808, 0.750], [0.500, 0.500, 0.000], [0.250, 0.750, 0.500], [0.000, 0.000, 0.000], [0.750, 0.250, 0.500]]}


(8)
{"formula": "TbP2Pd8", "functional": "PBE", "state": "relaxed", "energy_ev_per_atom": -5.560, "delta_e_f_ev_per_atom": -0.38, "total_magnetization_mub_per_fu": 0.00, "lattice_angstrom": [[7.077, 0.000, 0.000], [0.000, 5.384, 0.000], [0.000, -2.692, 4.662]], "species": ["Tb", "P", "P", "Pd", "Pd", "Pd", "Pd", "Pd", "Pd", "Pd", "Pd"], "frac_coords": [[0.500, 0.000, 0.000], [0.138, 0.667, 0.333], [0.862, 0.333, 0.667], [0.537, 0.333, 0.667], [0.463, 0.667, 0.333], [0.171, 0.168, 0.336], [0.829, 0.832, 0.664], [0.829, 0.336, 0.168], [0.171, 0.664, 0.832], [0.171, 0.168, 0.832], [0.829, 0.832, 0.168]]}


(9)
{"formula": "AcPrAg2", "functional": "PBE", "state": "relaxed", "energy_ev_per_atom": -3.883, "delta_e_f_ev_per_atom": -0.24, "total_magnetization_mub_per_fu": 0.00, "polymorph_energy_ev_per_atom": 0.015, "lattice_angstrom": [[-1.398, 4.090, 3.378], [-5.222, 1.653, 0.292], [-2.961, -1.047, 4.497]], "species": ["Pr", "Ac", "Ag", "Ag"], "frac_coords": [[0.500, 0.500, 0.500], [0.000, 0.000, 0.000], [0.250, 0.250, 0.250], [0.750, 0.750, 0.750]]}


(10)
{"formula": "Ac2Zn2Rh", "functional": "PBE", "state": "relaxed", "energy_ev_per_atom": -4.102, "delta_e_f_ev_per_atom": -0.48, "total_magnetization_mub_per_fu": 0.00, "lattice_angstrom": [[4.164, 0.000, 0.000], [2.082, 5.887, -0.191], [2.082, 0.592, 10.949]], "species": ["Ac", "Ac", "Ac", "Ac", "Zn", "Zn", "Zn", "Zn", "Rh", "Rh"], "frac_coords": [[0.713, 0.212, 0.362], [0.911, 0.297, 0.880], [0.287, 0.788, 0.638], [0.089, 0.703, 0.120], [0.033, 0.347, 0.587], [0.624, 0.870, 0.882], [0.967, 0.653, 0.413], [0.376, 0.130, 0.118], [0.574, 0.158, 0.693], [0.426, 0.842, 0.307]]}


(11)
{"formula": "Cs4U3CrN8", "functional": "PBE", "state": "relaxed", "energy_ev_per_atom": -7.743, "formation_energy_uncorrected_ev_per_atom": -0.649, "total_magnetization_mub_per_fu": 4.02, "lattice_angstrom": [[6.979, 0.000, 0.000], [0.000, 8.053, 0.713], [-3.490, -3.465, 4.954]], "species": ["Cs", "Cs", "Cs", "Cs", "U", "U", "U", "Cr", "N", "N", "N", "N", "N", "N", "N", "N"], "frac_coords": [[0.500, 0.000, 0.000], [0.500, 0.000, 0.500], [0.000, 0.000, 0.000], [0.000, 0.000, 0.500], [0.500, 0.500, 0.000], [0.500, 0.500, 0.500], [0.000, 0.500, 0.500], [0.000, 0.500, 0.000], [0.220, 0.641, 0.922], [0.220, 0.642, 0.440], [0.285, 0.354, 0.569], [0.702, 0.641, 0.922], [0.298, 0.359, 0.078], [0.715, 0.646, 0.431], [0.780, 0.358, 0.560], [0.780, 0.359, 0.078]]}


(12)
{"formula": "CuAgBr", "functional": "PBE", "state": "relaxed", "energy_ev_per_atom": -2.568, "formation_energy_uncorrected_ev_per_atom": 0.305, "total_magnetization_mub_per_fu": 0.00, "polymorph_energy_ev_per_atom": 0.170, "lattice_angstrom": [[4.503, 0.000, 0.000], [2.252, 3.900, 0.000], [2.252, 1.300, 3.677]], "species": ["Ag", "Br", "Cu"], "frac_coords": [[0.000, 0.000, 0.000], [0.500, 0.500, 0.500], [0.750, 0.750, 0.750]]}